DFT (PBE) results for a geometry-optimized InCo3Sb structure.

Calculated values
V	102	Å³/cell
ΔE to the lowest computed polymorph	0	meV per atom
crystal system	cubic
E	-23.250	eV/cell
space-group type	Pm-3m
ΔE_f (raw)	0.9856	eV/atom

```
InCo3Sb
1.0
4.671 0.000 0.000
0.000 4.671 0.000
0.000 0.000 4.671
In Co Sb
1 3 1
direct
0.500 0.500 0.500
0.000 0.500 0.000
0.500 0.000 0.000
0.000 0.000 0.500
0.000 0.000 0.000
```


DFT (PBE) results for a geometry-optimized InCo16Sb48 structure.

Calculated values
V	1524	Å³/cell
crystal system	monoclinic
E	-325.916	eV/cell
space-group type	C2/m
ΔE_f (raw)	-0.1786	eV/atom

```
InCo16Sb48
1.0
-3.149 -6.921 -2.186
4.473 -3.263 -5.651
13.991 -12.064 18.042
Sb Co In
48 16 1
direct
0.914 0.246 0.789
0.754 0.754 0.457
0.507 0.826 0.666
0.670 0.992 0.085
0.747 0.747 0.294
0.494 0.175 0.832
0.246 0.246 0.543
0.746 0.414 0.041
0.254 0.586 0.959
0.174 0.493 0.334
0.912 0.912 0.875
0.992 0.670 0.085
0.249 0.249 0.044
0.586 0.586 0.872
0.254 0.587 0.460
0.746 0.413 0.540
0.007 0.326 0.417
0.008 0.330 0.915
0.087 0.754 0.710
0.330 0.008 0.915
0.913 0.246 0.290
0.175 0.494 0.832
0.246 0.913 0.290
0.754 0.086 0.211
0.993 0.674 0.583
0.826 0.507 0.666
0.256 0.256 0.208
0.913 0.913 0.377
0.493 0.174 0.334
0.246 0.914 0.789
0.825 0.506 0.168
0.253 0.253 0.706
0.751 0.751 0.956
0.414 0.746 0.041
0.506 0.825 0.168
0.413 0.746 0.540
0.586 0.254 0.959
0.744 0.744 0.792
0.088 0.088 0.125
0.587 0.254 0.460
0.414 0.414 0.128
0.674 0.993 0.583
0.587 0.587 0.374
0.086 0.754 0.211
0.326 0.007 0.417
0.413 0.413 0.626
0.754 0.087 0.710
0.087 0.087 0.623
0.000 0.500 0.749
0.750 0.250 0.625
0.750 0.250 0.874
0.500 0.000 0.749
0.500 0.000 0.000
0.250 0.750 0.874
0.000 0.500 0.251
0.500 0.000 0.500
0.750 0.250 0.126
0.250 0.750 0.126
0.750 0.250 0.375
0.000 0.500 0.500
0.250 0.750 0.375
0.500 0.000 0.251
0.000 0.500 0.000
0.250 0.750 0.625
0.000 0.000 0.000
```


DFT (PBE) results for a geometry-optimized InCoSn2Sb structure.

Calculated values
V	124	Å³/cell
crystal system	tetragonal
E	-21.500	eV/cell
space-group type	P4/mmm
ΔE_f (raw)	0.0946	eV/atom

```
InCoSn2Sb
1.0
4.945 0.000 0.000
0.000 4.945 0.000
0.000 0.000 5.056
Sn Co In Sb
2 1 1 1
direct
0.500 0.000 0.000
0.000 0.500 0.000
0.000 0.000 0.000
0.000 0.000 0.500
0.500 0.500 0.500
```


DFT (PBE) results for a geometry-optimized In2CoSbTe structure.

Calculated values
V	126	Å³/cell
crystal system	tetragonal
E	-19.945	eV/cell
space-group type	P4/mmm
ΔE_f (raw)	-0.0197	eV/atom

```
In2CoSbTe
1.0
5.104 0.000 0.000
0.000 5.104 0.000
0.000 0.000 4.823
In Co Sb Te
2 1 1 1
direct
0.000 0.500 0.000
0.500 0.000 0.000
0.000 0.000 0.000
0.000 0.000 0.500
0.500 0.500 0.500
```


DFT (PBE) results for a geometry-optimized InCoSbTe2 structure.

Calculated values
V	136	Å³/cell
ΔE to the lowest computed polymorph	0	meV per atom
crystal system	tetragonal
E	-19.042	eV/cell
space-group type	P4/mmm
ΔE_f (raw)	0.2415	eV/atom

```
InCoSbTe2
1.0
5.381 0.000 0.000
0.000 5.381 0.000
0.000 0.000 4.699
Sb Co Te In
1 1 2 1
direct
0.000 0.000 0.500
0.000 0.000 0.000
0.000 0.500 0.000
0.500 0.000 0.000
0.500 0.500 0.500
```


DFT (PBE) results for a geometry-optimized YInCoSb2 structure.

Calculated values
V	195	Å³/cell
crystal system	tetragonal
E	-19.501	eV/cell
space-group type	P4/mmm
ΔE_f (raw)	1.0105	eV/atom

```
YInCoSb2
1.0
-2.379 -2.461 4.618
5.333 -0.532 2.464
-0.611 5.169 2.439
Sb In Co Y
2 1 1 1
direct
0.000 0.000 0.500
0.500 0.000 0.000
0.000 0.500 0.000
0.500 0.500 0.500
0.000 0.000 0.000
```


Values for spin magnetization, μB/cell, ordered as above
3.1 0.0 0.0 0.0 0.0 2.8